Here is a relaxed HoZn6CuNi crystal from Alexandria. Energies are from PBE.

Lattice parameters (Å, degrees): 7.583 7.583 7.583 125.53 112.61 91.97
Fractional coordinates of all 18 atoms:
Ho (0.439, 0.189, 0.250)
Ho (0.561, 0.811, 0.750)
Zn (0.128, 0.433, 0.309)
Zn (0.128, 0.819, 0.695)
Zn (0.156, 0.906, 0.250)
Zn (0.250, 0.500, 0.750)
Zn (0.376, 0.181, 0.809)
Zn (0.376, 0.567, 0.195)
Zn (0.624, 0.433, 0.805)
Zn (0.624, 0.819, 0.191)
Zn (0.750, 0.500, 0.250)
Zn (0.844, 0.094, 0.750)
Zn (0.872, 0.181, 0.305)
Zn (0.872, 0.567, 0.691)
Cu (0.000, 0.000, 0.500)
Cu (0.000, 0.500, 0.000)
Ni (0.000, 0.000, 0.000)
Ni (0.500, 0.000, 0.500)

Results
The calculation puts the formation energy at -0.02 eV/atom. The space group is Imma, No. 74.


Here is a relaxed Ca2Al3Ga crystal from Alexandria. Energies are from PBE.

Lattice parameters (Å, degrees): 3.721 4.582 7.910 90.00 90.00 90.00
Fractional coordinates of all 6 atoms:
Ca (0.000, 0.000, 0.000)
Ca (0.000, 0.500, 0.494)
Al (0.500, 0.000, 0.663)
Al (0.500, 0.500, 0.165)
Al (0.500, 0.500, 0.830)
Ga (0.500, 0.000, 0.331)

Results
The calculation puts the formation energy at -0.32 eV/atom. The space group is Pmm2, No. 25. As for the energy above the lowest structure with this stoichiometry: 51 meV/atom.


Here is a relaxed Ca3B4C4 crystal from Alexandria. Energies are from PBE.

Lattice parameters (Å, degrees): 5.535 5.535 5.535 109.47 109.47 109.47
Fractional coordinates of all 11 atoms:
Ca (0.000, 0.500, 0.500)
Ca (0.500, 0.000, 0.500)
Ca (0.500, 0.500, 0.000)
B (0.000, 0.000, 0.201)
B (0.000, 0.201, 0.000)
B (0.201, 0.000, 0.000)
B (0.799, 0.799, 0.799)
C (0.000, 0.000, 0.702)
C (0.000, 0.702, 0.000)
C (0.298, 0.298, 0.298)
C (0.702, 0.000, 0.000)

Results
The calculation puts the formation energy at 0.44 eV/atom. The space group is I-43m, No. 217.


Here is a relaxed Pr6AsP2Se3 crystal from Alexandria. Energies are from PBE.

Lattice parameters (Å, degrees): 9.557 9.557 8.557 103.79 103.79 25.62
Fractional coordinates of all 12 atoms:
Pr (0.005, 0.005, 0.247)
Pr (0.329, 0.329, 0.427)
Pr (0.334, 0.334, 0.903)
Pr (0.666, 0.666, 0.097)
Pr (0.671, 0.671, 0.573)
Pr (0.995, 0.995, 0.753)
As (0.500, 0.500, 0.000)
P (0.167, 0.167, 0.334)
P (0.833, 0.833, 0.666)
Se (0.165, 0.165, 0.833)
Se (0.500, 0.500, 0.500)
Se (0.835, 0.835, 0.167)

Results
The space group is C2/m, No. 12.


Number 1: energy -2.471 eV per atom, magnetization 0.00 μB per cell. Number 2: energy -3.361 eV per atom, magnetization 0.00 μB per cell. Number 3: energy -5.891 eV per atom, magnetization 0.00 μB per cell. Number 4: energy -6.305 eV per atom, magnetization 0.00 μB per cell.